1.
Material: YTmMg4
Method: DFT, PBE-GGA
State: optimized geometry

Results
The value obtained for the distance to the lowest polymorph of the same formula is 0.000 eV/atom. The formation energy comes out at -0.069 eV per atom.

a = 8.5111 Å, b = 8.5111 Å, c = 8.5111 Å
α = 90.00°, β = 90.00°, γ = 90.00°
Last column: nearest neighbours and their distance in Å.
Space group F-43m (No. 216)
Asymmetric unit:
Y: 0.0000 0.0000 0.0000 [4 per cell]  12 Mg 3.53, 4 Tm 3.69
Tm: 0.2500 0.2500 0.2500 [4 per cell]  12 Mg 3.53, 4 Y 3.69
Mg: 0.1250 0.1250 0.6250 [16 per cell]  6 Mg 3.01



2.
Material: ReSiOs2
Method: DFT, PBE-GGA
State: optimized geometry

Results
Its uncorrected formation energy is 0.250 eV per atom.

a = 2.8560 Å, b = 4.4272 Å, c = 4.4942 Å
α = 90.00°, β = 90.00°, γ = 90.00°
Last column: nearest neighbours and their distance in Å.
Space group Pmmm (No. 47)
Asymmetric unit:
Re: 0.0000 0.0000 0.0000 [1 per cell]  4 Os 2.63, 4 Si 2.66, 2 Re 2.86
Si: 0.5000 0.0000 0.5000 [1 per cell]  4 Os 2.63, 4 Re 2.66, 2 Si 2.86
Os: 0.0000 0.5000 0.5000 [1 per cell]  4 Si 2.63, 6 Os 2.66-2.86
Os: 0.5000 0.5000 0.0000 [1 per cell]  4 Re 2.63, 6 Os 2.66-2.86



3.
Material: BeCd2Fe
Method: DFT, PBE-GGA
State: optimized geometry

Results
The formation energy comes out at 0.476 eV per atom.

a = 4.0046 Å, b = 4.0046 Å, c = 7.8297 Å
α = 90.00°, β = 90.00°, γ = 90.00°
Last column: nearest neighbours and their distance in Å.
Space group I4/mmm (No. 139)
Asymmetric unit:
Be: 0.0000 0.0000 0.0000 [2 per cell]  8 Cd 2.80, 4 Fe 2.83
Cd: 0.0000 0.5000 0.2500 [4 per cell]  4 Fe 2.80, 4 Be 2.80, 4 Cd 2.83
Fe: 0.0000 0.0000 0.5000 [2 per cell]  8 Cd 2.80, 4 Be 2.83



4.
Material: InHgSe2
Method: DFT, PBE-GGA
State: optimized geometry

Results
Its uncorrected formation energy is -0.258 eV per atom.

a = 8.4957 Å, b = 8.5181 Å, c = 7.1038 Å
α = 90.00°, β = 90.00°, γ = 90.00°
Last column: nearest neighbours and their distance in Å.
Space group Pna2_1 (No. 33)
Asymmetric unit:
In: 0.0131 0.1259 0.0000 [4 per cell]  4 Se 2.60-2.76
Hg: 0.1712 0.5896 0.0720 [4 per cell]  3 Se 2.87-2.97
Se: 0.0012 0.8401 0.8626 [4 per cell]  2 In 2.60-2.63
Se: 0.2217 0.3153 0.8424 [4 per cell]  2 In 2.65-2.76, 2 Hg 2.87-2.88



5.
Material: Mg2CrP
Method: DFT, PBE-GGA
State: optimized geometry

Results
The formation energy comes out at 0.164 eV per atom.

a = 8.5448 Å, b = 8.5448 Å, c = 4.7527 Å
α = 90.00°, β = 90.00°, γ = 90.00°
Last column: nearest neighbours and their distance in Å.
Space group I-42d (No. 122)
Asymmetric unit:
Mg: 0.1486 0.2500 0.1250 [8 per cell]  2 P 2.56
Cr: 0.0000 0.0000 0.5000 [4 per cell]  2 P 2.38
P: 0.0000 0.0000 0.0000 [4 per cell]  2 Cr 2.38, 4 Mg 2.56



6.
Material: MnHg3Br8
Method: DFT, PBE-GGA
State: optimized geometry

Results
Its uncorrected formation energy is -0.497 eV per atom.

a = 14.1929 Å, b = 8.1192 Å, c = 8.2835 Å
α = 90.00°, β = 124.73°, γ = 90.00°
Last column: nearest neighbours and their distance in Å.
Space group C2/m (No. 12)
Asymmetric unit:
Mn: 0.0000 0.0000 0.0000 [2 per cell]  6 Br 2.71-2.74
Hg: 0.0000 0.5000 0.0000 [2 per cell]  6 Br 2.86-2.88
Hg: 0.2500 0.2500 0.0000 [4 per cell]  6 Br 2.83-2.90
Br: 0.0016 0.2379 0.7712 [8 per cell]  1 Mn 2.71, 2 Hg 2.86-2.90
Br: 0.2348 0.0000 0.2282 [4 per cell]  1 Mn 2.74, 2 Hg 2.86
Br: 0.2466 0.5000 0.2344 [4 per cell]  3 Hg 2.83-2.88



7.
Material: SrAlBiAs2
Method: DFT, PBE-GGA
State: optimized geometry

Results
The formation energy comes out at 0.940 eV per atom.

a = 5.6242 Å, b = 5.6242 Å, c = 6.1189 Å
α = 90.00°, β = 90.00°, γ = 90.00°
Last column: nearest neighbours and their distance in Å.
Space group P4/mmm (No. 123)
Asymmetric unit:
Sr: 0.0000 0.0000 0.0000 [1 per cell]  4 As 2.81, 2 Bi 3.06
Al: 0.5000 0.5000 0.5000 [1 per cell]  4 Bi 3.98, 8 As 4.16
Bi: 0.0000 0.0000 0.5000 [1 per cell]  2 Sr 3.06
As: 0.0000 0.5000 0.0000 [2 per cell]  2 Sr 2.81



8.
Material: CuRe2Hg
Method: DFT, PBE-GGA
State: optimized geometry

Results
The formation energy comes out at 0.676 eV per atom.

a = 3.8486 Å, b = 4.2140 Å, c = 7.6887 Å
α = 90.00°, β = 90.00°, γ = 90.00°
Last column: nearest neighbours and their distance in Å.
Space group Imm2 (No. 44)
Asymmetric unit:
Cu: 0.0000 0.0000 0.0000 [2 per cell]  4 Hg 2.70-2.87, 8 Re 2.76-2.85
Re: 0.0000 0.0000 0.5088 [2 per cell]  4 Re 2.64-2.93, 4 Hg 2.78-2.79, 4 Cu 2.85
Re: 0.0000 0.5000 0.2435 [2 per cell]  4 Re 2.64-2.93, 4 Cu 2.76-2.82, 4 Hg 2.85
Hg: 0.0000 0.5000 0.7470 [2 per cell]  4 Cu 2.70-2.87, 8 Re 2.78-2.85



9.
Material: Ac2Zn4CdPt3
Method: DFT, PBE-GGA
State: optimized geometry

Results
The formation energy comes out at -0.669 eV per atom.

a = 4.2995 Å, b = 4.2995 Å, c = 11.4728 Å
α = 90.00°, β = 90.00°, γ = 90.00°
Last column: nearest neighbours and their distance in Å.
Space group P-4m2 (No. 115)
Asymmetric unit:
Ac: 0.0000 0.5000 0.2386 [2 per cell]  4 Pt 3.27, 8 Zn 3.35-3.48
Zn: 0.0000 0.0000 0.0000 [1 per cell]  4 Pt 2.65
Zn: 0.0000 0.5000 0.6379 [2 per cell]  3 Pt 2.61-2.67, 2 Cd 2.67
Zn: 0.5000 0.5000 0.0000 [1 per cell]  4 Pt 2.65
Cd: 0.0000 0.0000 0.5000 [1 per cell]  4 Zn 2.67
Pt: 0.0000 0.5000 0.8656 [2 per cell]  5 Zn 2.61-2.65
Pt: 0.5000 0.5000 0.5000 [1 per cell]  4 Zn 2.67



10.
Material: Sc3PaRh4
Method: DFT, PBE-GGA
State: optimized geometry

Results
The formation energy comes out at -0.894 eV per atom.

a = 4.7080 Å, b = 4.7080 Å, c = 22.6761 Å
α = 90.00°, β = 90.00°, γ = 120.00°
Last column: nearest neighbours and their distance in Å.
Space group R-3m (No. 166, hexagonal axes)
Asymmetric unit:
Sc: 0.0000 0.0000 0.0000 [3 per cell]  8 Rh 2.86-2.92
Sc: 0.0000 0.0000 0.2561 [6 per cell]  8 Rh 2.81-2.95
Pa: 0.0000 0.0000 0.5000 [3 per cell]  8 Rh 2.73-2.87
Rh: 0.0000 0.0000 0.1262 [6 per cell]  5 Sc 2.86-2.95, 3 Pa 2.87
Rh: 0.0000 0.0000 0.3798 [6 per cell]  1 Pa 2.73, 7 Sc 2.81-2.92



11.
Material: YOsRu3
Method: DFT, PBE-GGA
State: optimized geometry

Results
The value obtained for the distance to the lowest polymorph of the same formula is 0.000 eV/atom. The formation energy comes out at 0.862 eV per atom.

a = 4.7042 Å, b = 4.7042 Å, c = 4.7042 Å
α = 90.00°, β = 90.00°, γ = 90.00°
Last column: nearest neighbours and their distance in Å.
Space group Pm-3m (No. 221)
Asymmetric unit:
Y: 0.0000 0.0000 0.0000 [1 per cell]  12 Ru 3.33
Os: 0.5000 0.5000 0.5000 [1 per cell]  6 Ru 2.35
Ru: 0.0000 0.5000 0.5000 [3 per cell]  2 Os 2.35



12.
Material: SrMgCd4
Method: DFT, PBE-GGA
State: optimized geometry

Results
The value obtained for the distance to the lowest polymorph of the same formula is 0.012 eV/atom. The formation energy comes out at -0.163 eV per atom.

a = 8.5212 Å, b = 8.5212 Å, c = 8.5212 Å
α = 90.00°, β = 90.00°, γ = 90.00°
Last column: nearest neighbours and their distance in Å.
Space group F-43m (No. 216)
Asymmetric unit:
Sr: 0.0000 0.0000 0.0000 [4 per cell]  12 Cd 3.53, 4 Mg 3.69
Mg: 0.2500 0.2500 0.7500 [4 per cell]  12 Cd 3.53, 4 Sr 3.69
Cd: 0.1249 0.1249 0.3751 [16 per cell]  6 Cd 3.01



13.
Material: MgSn5Cl12
Method: DFT, PBE-GGA
State: optimized geometry

Results
Its uncorrected formation energy is -1.107 eV per atom.

a = 7.2302 Å, b = 12.5642 Å, c = 13.1313 Å
α = 90.00°, β = 90.00°, γ = 90.00°
Last column: nearest neighbours and their distance in Å.
Space group C2/m (No. 12)
Asymmetric unit:
Mg: 0.0000 0.0000 0.0000 [2 per cell]  6 Cl 2.57
Sn: 0.0000 0.1666 0.5000 [4 per cell]  6 Cl 2.87
Sn: 0.0000 0.3333 0.0000 [4 per cell]  6 Cl 2.90-2.91
Sn: 0.0000 0.5000 0.5000 [2 per cell]  6 Cl 2.87
Cl: 0.1491 0.1492 0.8941 [8 per cell]  1 Mg 2.57
Cl: 0.1663 0.0000 0.6178 [4 per cell]  3 Sn 2.87
Cl: 0.1662 0.3333 0.6186 [8 per cell]  3 Sn 2.87
Cl: 0.2010 0.5000 0.8944 [4 per cell]  1 Mg 2.57



14.
Material: Cs2BI7
Method: DFT, PBE-GGA
State: optimized geometry

Results
Its uncorrected formation energy is -0.339 eV per atom.

a = 8.3769 Å, b = 8.3769 Å, c = 11.8646 Å
α = 90.00°, β = 90.00°, γ = 90.00°
Last column: nearest neighbours and their distance in Å.
Space group I4/mmm (No. 139)
Asymmetric unit:
Cs: 0.0000 0.5000 0.2500 [4 per cell]  12 I 4.20-4.21
B: 0.0000 0.0000 0.0000 [2 per cell]  6 I 2.57-2.63
I: 0.0000 0.0000 0.2164 [4 per cell]  1 B 2.57
I: 0.0000 0.0000 0.5000 [2 per cell]  6 I 3.29-3.36
I: 0.2221 0.2221 0.0000 [8 per cell]  1 B 2.63



15.
Material: LaPr3C8
Method: DFT, PBE-GGA
State: optimized geometry

Results
The formation energy comes out at 0.150 eV per atom.

a = 7.3334 Å, b = 7.3334 Å, c = 7.9759 Å
α = 90.00°, β = 90.00°, γ = 90.00°
Last column: nearest neighbours and their distance in Å.
Space group I-42m (No. 121)
Asymmetric unit:
La: 0.0000 0.0000 0.0000 [2 per cell]  4 C 2.56
Pr: 0.0000 0.0000 0.5000 [2 per cell]  8 C 2.66-2.72
Pr: 0.0000 0.5000 0.2500 [4 per cell]  8 C 2.74
C: 0.1667 0.1667 0.2360 [8 per cell]  1 C 1.29
C: 0.2315 0.2315 0.6426 [8 per cell]  1 C 1.29



16.
Material: Sm2Zn3SiNi12
Method: DFT, PBE-GGA
State: optimized geometry

Results
Its uncorrected formation energy is -0.004 eV per atom.

a = 6.0686 Å, b = 6.0686 Å, c = 25.0327 Å
α = 90.00°, β = 90.00°, γ = 120.00°
Last column: nearest neighbours and their distance in Å.
Space group R-3m (No. 166, hexagonal axes)
Asymmetric unit:
Sm: 0.0000 0.0000 0.1534 [6 per cell]  6 Ni 2.86-2.89
Zn: 0.0000 0.5000 0.0000 [9 per cell]  6 Ni 2.36-2.49
Si: 0.0000 0.0000 0.5000 [3 per cell]  6 Ni 2.25
Ni: 0.0516 0.5258 0.0990 [18 per cell]  1 Si 2.25, 2 Ni 2.40, 1 Zn 2.49
Ni: 0.0741 0.5370 0.6149 [18 per cell]  4 Ni 2.36-2.40, 2 Zn 2.36



17.
Material: La2SnAu3
Method: DFT, PBE-GGA
State: optimized geometry

Results
The value obtained for the distance to the lowest polymorph of the same formula is 0.000 eV/atom. The formation energy comes out at -0.832 eV per atom.

a = 3.7361 Å, b = 4.7662 Å, c = 8.5347 Å
α = 90.00°, β = 90.00°, γ = 90.00°
Last column: nearest neighbours and their distance in Å.
Space group Pmm2 (No. 25)
Asymmetric unit:
La: 0.0000 0.0000 0.0000 [1 per cell]  8 Au 3.26-3.56, 4 Sn 3.44
La: 0.0000 0.5000 0.4643 [1 per cell]  10 Au 3.28-3.40, 2 Sn 3.49
Sn: 0.5000 0.5000 0.8093 [1 per cell]  3 Au 2.76-2.84
Au: 0.5000 0.0000 0.3170 [1 per cell]  3 Au 2.80-2.81
Au: 0.5000 0.0000 0.6456 [1 per cell]  2 Sn 2.76, 1 Au 2.80
Au: 0.5000 0.5000 0.1418 [1 per cell]  2 Au 2.81, 1 Sn 2.84



18.
Material: SrReClO2
Method: DFT, PBE-GGA
State: optimized geometry

Results
Its uncorrected formation energy is -1.315 eV per atom.

a = 3.9944 Å, b = 3.9944 Å, c = 5.1043 Å
α = 90.00°, β = 90.00°, γ = 90.00°
Last column: nearest neighbours and their distance in Å.
Space group P4/mmm (No. 123)
Asymmetric unit:
Sr: 0.0000 0.0000 0.0000 [1 per cell]  4 Cl 2.82
Re: 0.5000 0.5000 0.5000 [1 per cell]  4 O 2.00
Cl: 0.5000 0.5000 0.0000 [1 per cell]  2 Re 2.55, 4 Sr 2.82
O: 0.0000 0.5000 0.5000 [2 per cell]  2 Re 2.00



19.
Material: Pa4Sb8Au3
Method: DFT, PBE-GGA
State: optimized geometry

Results
Its uncorrected formation energy is -0.457 eV per atom.

a = 4.4268 Å, b = 4.4268 Å, c = 19.2224 Å
α = 90.00°, β = 90.00°, γ = 90.00°
Last column: nearest neighbours and their distance in Å.
Space group P-4m2 (No. 115)
Asymmetric unit:
Pa: 0.0000 0.5000 0.1215 [2 per cell]  8 Sb 3.19-3.26, 2 Au 3.22
Pa: 0.0000 0.5000 0.6262 [2 per cell]  8 Sb 3.16-3.31, 4 Au 3.28
Sb: 0.0000 0.0000 0.2460 [2 per cell]  4 Sb 3.13, 4 Pa 3.26-3.31
Sb: 0.0000 0.5000 0.3964 [2 per cell]  4 Au 2.98, 4 Pa 3.16
Sb: 0.0000 0.5000 0.9111 [2 per cell]  2 Au 2.80
Sb: 0.5000 0.5000 0.2462 [2 per cell]  4 Sb 3.13, 4 Pa 3.26-3.30
Au: 0.0000 0.0000 0.0000 [1 per cell]  4 Sb 2.80
Au: 0.0000 0.0000 0.5000 [1 per cell]  4 Sb 2.98, 4 Au 3.13, 4 Pa 3.28
Au: 0.5000 0.5000 0.5000 [1 per cell]  4 Sb 2.98, 4 Au 3.13, 4 Pa 3.28



20.
Material: TeH
Method: DFT, PBE-GGA
State: optimized geometry

Results
The value obtained for the distance to the lowest polymorph of the same formula is 0.068 eV/atom.

a = 3.7934 Å, b = 3.1507 Å, c = 7.4832 Å
α = 90.00°, β = 90.18°, γ = 90.00°
Last column: nearest neighbours and their distance in Å.
Space group P2_1/m (No. 11)
Asymmetric unit:
Te: 0.2483 0.2500 0.2941 [2 per cell]  1 H 1.69
H: 0.2450 0.2500 0.0686 [2 per cell]  1 Te 1.69



21.
Material: TbPr3HoTh
Method: DFT, PBE-GGA
State: optimized geometry

Results
The formation energy comes out at 0.028 eV per atom.

a = 10.8821 Å, b = 3.6423 Å, c = 10.9123 Å
α = 90.00°, β = 109.46°, γ = 90.00°
Last column: nearest neighbours and their distance in Å.
Space group P2_1/m (No. 11)
Asymmetric unit:
Tb: 0.2036 0.2500 0.3823 [2 per cell]  3 Th 3.53, 7 Pr 3.60-3.76, 2 Tb 3.64
Pr: 0.0421 0.2500 0.8654 [2 per cell]  2 Th 3.56, 1 Ho 3.58, 2 Tb 3.60, 7 Pr 3.64-3.82
Pr: 0.2927 0.7500 0.1237 [2 per cell]  3 Ho 3.62-3.64, 7 Pr 3.64-3.69, 2 Tb 3.75
Pr: 0.4545 0.7500 0.6271 [2 per cell]  2 Ho 3.58, 1 Th 3.60, 3 Tb 3.61-3.76, 6 Pr 3.64-3.72
Ho: 0.3726 0.2500 0.8711 [2 per cell]  6 Pr 3.58-3.64, 2 Th 3.63, 4 Ho 3.64-3.71
Th: 0.1220 0.7500 0.6219 [2 per cell]  3 Tb 3.53, 3 Pr 3.56-3.60, 4 Th 3.57-3.64, 2 Ho 3.63



22.
Material: BaCd2Ni2
Method: DFT, PBE-GGA
State: optimized geometry

Results
The value obtained for the distance to the lowest polymorph of the same formula is 0.149 eV/atom. The formation energy comes out at 0.111 eV per atom.

a = 8.0615 Å, b = 8.0615 Å, c = 3.1221 Å
α = 90.00°, β = 90.00°, γ = 90.00°
Last column: nearest neighbours and their distance in Å.
Space group P4/mbm (No. 127)
Asymmetric unit:
Ba: 0.0000 0.0000 0.0000 [2 per cell]  4 Ni 3.01, 2 Ba 3.12
Cd: 0.1284 0.3716 0.5000 [4 per cell]  6 Ni 2.83-2.85, 3 Cd 2.93-3.12
Ni: 0.1644 0.6644 0.0000 [4 per cell]  6 Cd 2.83-2.85, 2 Ba 3.01, 2 Ni 3.12



23.
Material: KBaOs2
Method: DFT, PBE-GGA
State: optimized geometry

Results
The value obtained for the distance to the lowest polymorph of the same formula is 1.113 eV/atom. The formation energy comes out at 1.559 eV per atom.

a = 2.9445 Å, b = 2.9445 Å, c = 34.6294 Å
α = 90.00°, β = 90.00°, γ = 120.00°
Last column: nearest neighbours and their distance in Å.
Space group R-3m (No. 166, hexagonal axes)
Asymmetric unit:
K: 0.0000 0.0000 0.0000 [3 per cell]  6 K 2.94
Ba: 0.0000 0.0000 0.5000 [3 per cell]  6 Ba 2.94
Os: 0.0000 0.0000 0.2505 [6 per cell]  6 Os 2.94



24.
Material: Nb3Ru
Method: DFT, PBE-GGA
State: optimized geometry

Results
The formation energy comes out at -0.223 eV per atom.

a = 4.5856 Å, b = 4.5856 Å, c = 3.2321 Å
α = 90.00°, β = 90.00°, γ = 90.00°
Last column: nearest neighbours and their distance in Å.
Space group P4/mmm (No. 123)
Asymmetric unit:
Nb: 0.0000 0.0000 0.0000 [1 per cell]  8 Nb 2.81
Nb: 0.0000 0.5000 0.5000 [2 per cell]  4 Nb 2.81, 4 Ru 2.81
Ru: 0.5000 0.5000 0.0000 [1 per cell]  8 Nb 2.81